# 1
Entry from Alexandria: crystalline Mn2CoPb at its relaxed geometry (PBE-GGA).

Lattice parameters (Å, degrees): 3.083 3.083 7.079 90.00 90.00 90.00
Element x y z (fractional)
Mn1 0.000 0.000 0.191
Mn2 0.000 0.000 0.809
Co1 0.500 0.500 0.000
Pb1 0.500 0.500 0.500

Values from the calculation:
Energy of formation in eV per atom: 0.315
Crystal system: tetragonal
Excess energy over the best structure of this formula in the dataset in eV/f.u.: 0.000

# 2
Entry from Alexandria: crystalline ZrAsCl2 at its relaxed geometry (PBE-GGA).

Lattice parameters (Å, degrees): 12.276 12.276 12.276 14.95 14.95 14.95
Element x y z (fractional)
Zr1 0.000 0.000 0.000
As1 0.500 0.500 0.500
Cl1 0.384 0.384 0.384
Cl2 0.616 0.616 0.616

Values from the calculation:
Crystal system: trigonal
Excess energy over the best structure of this formula in the dataset in eV/f.u.: 1.123
Raw formation energy in eV/atom: -0.79

# 3
Entry from Alexandria: crystalline HoZn2Co4 at its relaxed geometry (PBE-GGA).

Lattice parameters (Å, degrees): 5.093 5.093 5.093 103.56 103.56 122.08
Element x y z (fractional)
Ho1 0.000 0.000 0.000
Zn1 0.250 0.750 0.500
Zn2 0.750 0.250 0.500
Co1 0.317 0.317 0.633
Co2 0.317 0.683 0.000
Co3 0.683 0.317 0.000
Co4 0.683 0.683 0.367

Values from the calculation:
Energy of formation in eV per atom: -0.086
Crystal system: tetragonal

# 4
Entry from Alexandria: crystalline Lu2ScH at its relaxed geometry (PBE-GGA).

Lattice parameters (Å, degrees): 9.097 9.097 9.097 21.22 21.22 21.22
Element x y z (fractional)
Lu1 0.117 0.117 0.117
Lu2 0.883 0.883 0.883
Sc1 0.000 0.000 0.000
H1 0.500 0.500 0.500

Values from the calculation:
Crystal system: trigonal
Excess energy over the best structure of this formula in the dataset in eV/f.u.: 0.000

# 5
Entry from Alexandria: crystalline TaSiAsBr2 at its relaxed geometry (PBE-GGA).

Lattice parameters (Å, degrees): 5.066 5.066 5.173 90.00 90.00 90.00
Element x y z (fractional)
Ta1 0.000 0.000 0.000
Si1 0.500 0.500 0.500
As1 0.000 0.000 0.500
Br1 0.000 0.500 0.000
Br2 0.500 0.000 0.000

Values from the calculation:
Crystal system: tetragonal
Excess energy over the best structure of this formula in the dataset in eV/f.u.: 0.000
Raw formation energy in eV/atom: 0.56

# 6
Entry from Alexandria: crystalline Li2GdCu at its relaxed geometry (PBE-GGA).

Lattice parameters (Å, degrees): 3.306 3.306 6.990 90.00 90.00 90.00
Element x y z (fractional)
Li1 0.000 0.000 0.177
Li2 0.000 0.000 0.823
Gd1 0.500 0.500 0.500
Cu1 0.500 0.500 0.000

Values from the calculation:
Energy of formation in eV per atom: 0.115
Crystal system: tetragonal
Excess energy over the best structure of this formula in the dataset in eV/f.u.: 0.000

# 7
Entry from Alexandria: crystalline CsAsOsN2 at its relaxed geometry (PBE-GGA).

Lattice parameters (Å, degrees): 4.028 4.028 5.320 90.00 90.00 90.00
Element x y z (fractional)
Cs1 0.000 0.000 0.000
As1 0.500 0.500 0.000
Os1 0.500 0.500 0.500
N1 0.000 0.500 0.500
N2 0.500 0.000 0.500

Values from the calculation:
Crystal system: tetragonal
Raw formation energy in eV/atom: 0.92

# 8
Entry from Alexandria: crystalline PmInGa2Au2 at its relaxed geometry (PBE-GGA).

Lattice parameters (Å, degrees): 4.510 4.510 7.163 90.00 90.00 120.00
Element x y z (fractional)
Pm1 0.000 0.000 0.000
In1 0.000 0.000 0.500
Ga1 0.333 0.667 0.759
Ga2 0.667 0.333 0.241
Au1 0.333 0.667 0.291
Au2 0.667 0.333 0.709

Values from the calculation:
Energy of formation in eV per atom: -0.506
Crystal system: trigonal